VASP calculation (GGA-PBEsol) on a relaxed BaCoSi2 crystal.

E = -5.37 eV per atom
space group = No. 99
total magnetic moment = 0.0 μB/f.u.

extended XYZ file:
```
4
Lattice="3.167 0.000 0.000 0.000 3.167 0.000 0.000 0.000 7.273" Properties=species:S:1:pos:R:3 pbc="T T T"
Ba 0.000 0.000 0.000
Co 1.583 1.583 2.585
Si 0.000 0.000 3.349
Si 1.583 1.583 4.830
```

VASP calculation (GGA-PBEsol) on a relaxed BaCoSi2 crystal.

E = -5.85 eV per atom
space group = No. 166
total magnetic moment = 0.0 μB/f.u.

extended XYZ file:
```
4
Lattice="1.951 1.127 5.974 -1.951 1.127 5.974 0.000 -2.253 5.974" Properties=species:S:1:pos:R:3 pbc="T T T"
Ba 0.000 0.000 0.000
Co 0.000 0.000 8.961
Si 0.000 0.000 3.556
Si 0.000 0.000 14.367
```

VASP calculation (GGA-PBEsol) on a relaxed BaCoSi2 crystal.

E = -4.76 eV per atom
space group = No. 216
total magnetic moment = 0.9 μB/f.u.

extended XYZ file:
```
4
Lattice="0.000 3.351 3.351 3.351 0.000 3.351 3.351 3.351 0.000" Properties=species:S:1:pos:R:3 pbc="T T T"
Ba 0.000 0.000 0.000
Co 1.675 1.675 1.675
Si 3.351 3.351 3.351
Si 5.026 5.026 5.026
```

- What is the total magnetic moment in the first record?
  0.0 μB/f.u.